# 1
Material: Pr4MoN5
Method: DFT, PBE
State: relaxed

Calculated values
Electronic total energy: -163.52 eV/cell

a = 7.8684 Å, b = 7.8684 Å, c = 5.2409 Å
α = 90.00°, β = 90.00°, γ = 90.00°
With the nearest neighbours (Å) after each atom.
Space group I4 (No. 79)
Inequivalent atoms, fractional coordinates:
Pr 0.1080 0.6938 0.0000 [8 per cell]  5 N 2.44-2.65
Mo 0.0000 0.0000 0.5666 [2 per cell]  1 N 1.82
N 0.0000 0.0000 0.9147 [2 per cell]  1 Mo 1.82
N 0.0898 0.7370 0.5010 [8 per cell]  1 Mo 2.21, 2 Pr 2.44-2.45

=====

# 2
Material: RbSnHg2Pb
Method: DFT, PBE
State: relaxed

Calculated values
Energy of formation: 0.057 eV/atom

a = 5.9218 Å, b = 5.9218 Å, c = 5.8937 Å
α = 90.00°, β = 90.00°, γ = 90.00°
With the nearest neighbours (Å) after each atom.
Space group P4/mmm (No. 123)
Inequivalent atoms, fractional coordinates:
Rb 0.0000 0.0000 0.0000 [1 per cell]  8 Hg 4.18, 4 Pb 4.19
Sn 0.5000 0.5000 0.5000 [1 per cell]  2 Pb 2.95, 4 Hg 2.96
Hg 0.0000 0.5000 0.5000 [2 per cell]  2 Sn 2.96
Pb 0.5000 0.5000 0.0000 [1 per cell]  2 Sn 2.95

=====

# 3
Material: LaHo2Mg2In2
Method: DFT, PBE
State: relaxed

Calculated values
Energy of formation: -0.249 eV/atom

a = 5.0368 Å, b = 5.0368 Å, c = 26.7196 Å
α = 90.00°, β = 90.00°, γ = 120.00°
With the nearest neighbours (Å) after each atom.
Space group R-3m (No. 166, hexagonal axes)
Inequivalent atoms, fractional coordinates:
La 0.0000 0.0000 0.0000 [3 per cell]  2 Ho 3.52, 6 In 3.53, 6 Mg 3.58
Ho 0.0000 0.0000 0.1316 [6 per cell]  3 Mg 3.24, 4 In 3.28-3.40, 3 Ho 3.46, 1 La 3.52
Mg 0.0000 0.0000 0.4112 [6 per cell]  3 In 2.91, 3 Ho 3.24
In 0.0000 0.0000 0.2588 [6 per cell]  3 Mg 2.91

=====

# 4
Material: BeCu2Ru
Method: DFT, PBE
State: relaxed

Calculated values
Energy of formation: 0.011 eV/atom

a = 3.4042 Å, b = 3.4042 Å, c = 3.9868 Å
α = 90.00°, β = 90.00°, γ = 90.00°
With the nearest neighbours (Å) after each atom.
Space group P4/mmm (No. 123)
Inequivalent atoms, fractional coordinates:
Be 0.0000 0.0000 0.0000 [1 per cell]  4 Ru 2.41, 8 Cu 2.62
Cu 0.0000 0.5000 0.5000 [2 per cell]  4 Cu 2.41, 4 Be 2.62, 4 Ru 2.62
Ru 0.5000 0.5000 0.0000 [1 per cell]  4 Be 2.41, 8 Cu 2.62

=====

Which formula does entry 1 have?
Pr4MoN5

=====

Which formula does entry 2 have?
RbSnHg2Pb

=====

Repeat the fourth record exactly.
Material: BeCu2Ru
Method: DFT, PBE
State: relaxed

Calculated values
Energy of formation: 0.011 eV/atom

a = 3.4042 Å, b = 3.4042 Å, c = 3.9868 Å
α = 90.00°, β = 90.00°, γ = 90.00°
With the nearest neighbours (Å) after each atom.
Space group P4/mmm (No. 123)
Inequivalent atoms, fractional coordinates:
Be 0.0000 0.0000 0.0000 [1 per cell]  4 Ru 2.41, 8 Cu 2.62
Cu 0.0000 0.5000 0.5000 [2 per cell]  4 Cu 2.41, 4 Be 2.62, 4 Ru 2.62
Ru 0.5000 0.5000 0.0000 [1 per cell]  4 Be 2.41, 8 Cu 2.62